{"formula": "AlNiPb2", "functional": "PBE-GGA", "state": "relaxed", "energy_ev_per_atom": -3.73, "vol_a3_per_atom": 22.56, "space_group": "F-43m", "magnetic_moment_mub_per_cell": 0.01, "lattice_angstrom": [[0.0000, 3.5599, 3.5599], [3.5599, 0.0000, 3.5599], [3.5599, 3.5599, 0.0000]], "species": ["Al", "Ni", "Pb", "Pb"], "fractional_positions": [[0.0000, 0.0000, 0.0000], [0.7500, 0.7500, 0.7500], [0.2500, 0.2500, 0.2500], [0.5000, 0.5000, 0.5000]]}